Record 1
ZrPb2Br after structural relaxation. Source: the Alexandria database, functional GGA-PBEsol.

abc: 4.424 4.424 5.942
angles: 111.86 111.86 90.00
Element x y z (fractional)
1 Pb 0.750 0.250 0.500
2 Pb 0.250 0.750 0.500
3 Br 0.000 0.000 0.000
4 Zr 0.500 0.500 0.000

Results
Relative energy among the computed polymorphs, eV/atom: 0.294
Formation energy without anion corrections, meV per atom: -16
Space group: I4/mmm

=====

Record 2
In3PC after structural relaxation. Source: the Alexandria database, functional GGA-PBEsol.

abc: 4.624 4.624 4.624
angles: 90.00 90.00 90.00
Element x y z (fractional)
1 P 0.500 0.500 0.500
2 C 0.000 0.000 0.000
3 In 0.000 0.500 0.000
4 In 0.000 0.000 0.500
5 In 0.500 0.000 0.000

Results
Formation enthalpy at 0 K, eV/atom: 0.762
Space group: Pm-3m

=====

Record 3
ZrTi3 after structural relaxation. Source: the Alexandria database, functional GGA-PBEsol.

abc: 4.699 5.967 5.967
angles: 120.00 90.00 90.00
Element x y z (fractional)
1 Zr 0.750 0.333 0.667
2 Zr 0.250 0.667 0.333
3 Ti 0.250 0.679 0.839
4 Ti 0.250 0.161 0.321
5 Ti 0.250 0.161 0.839
6 Ti 0.750 0.321 0.161
7 Ti 0.750 0.839 0.679
8 Ti 0.750 0.839 0.161

Results
Formation enthalpy at 0 K, eV/atom: 0.040
Space group: P6_3/mmc

=====

Record 4
Sb2Se2N after structural relaxation. Source: the Alexandria database, functional GGA-PBEsol.

abc: 5.486 5.486 6.597
angles: 114.57 114.57 90.00
Element x y z (fractional)
1 Sb 0.179 0.179 0.357
2 Sb 0.821 0.821 0.643
3 Se 0.250 0.750 0.500
4 Se 0.750 0.250 0.500
5 N 0.000 0.000 0.000

Results
Formation energy without anion corrections, meV per atom: 287
Space group: I4/mmm

=====

Record 5
Cd2AgHg after structural relaxation. Source: the Alexandria database, functional GGA-PBEsol.

abc: 3.173 5.124 5.147
angles: 98.93 90.00 108.04
Element x y z (fractional)
1 Hg 0.500 0.000 0.000
2 Ag 0.000 0.000 0.500
3 Cd 0.745 0.490 0.741
4 Cd 0.255 0.510 0.259

Results
Formation enthalpy at 0 K, eV/atom: -0.005
Space group: C2/m

=====

Record 6
BaSi after structural relaxation. Source: the Alexandria database, functional GGA-PBEsol.

abc: 3.921 6.158 9.135
angles: 80.07 77.61 71.44
Element x y z (fractional)
1 Ba 0.965 0.045 0.024
2 Ba 0.705 0.971 0.620
3 Ba 0.562 0.495 0.380
4 Si 0.319 0.055 0.306
5 Si 0.954 0.395 0.698
6 Si 0.328 0.539 0.805

Results
Formation energy without anion corrections, meV per atom: -222
Space group: Cm

=====

For each record above, in turn, the calculated total DFT energy (no corrections) values are -4.755 -4.115 -8.474 -4.781 -1.573 -4.170 eV per atom.
For each record above, in turn, the calculated total moment values are 0.0 0.0 0.0 0.0 0.0 0.0 μB per formula unit.